No. 1
The following is a PBE-GGA calculation of a relaxed structure of Mn2CrRu, from Alexandria via LeMat-Bulk.

Cell lengths 2.898, 4.235, 8.105 Å; angles 90.00, 90.00, 90.00 degrees
Atoms (fractional coordinates):
Mn (0.000, 0.000, 0.237)
Mn (0.000, 0.000, 0.763)
Mn (0.500, 0.500, 0.237)
Mn (0.500, 0.500, 0.763)
Cr (0.000, 0.500, 0.000)
Cr (0.500, 0.000, 0.000)
Ru (0.000, 0.500, 0.500)
Ru (0.500, 0.000, 0.500)

Results
Fermi-level density of states ... 1.479 states/eV/atom
Formation energy ... 0.213 eV/atom
M_tot ... 3.567 μB per formula unit
Raw total energy ... -9.097 eV per atom

No. 2
The following is a PBE-GGA calculation of a relaxed structure of Y2AlAg, from Alexandria via LeMat-Bulk.

Cell lengths 3.587, 5.013, 10.719 Å; angles 90.00, 90.00, 90.00 degrees
Atoms (fractional coordinates):
Y (0.000, 0.000, 0.000)
Y (0.000, 0.500, 0.221)
Y (0.500, 0.000, 0.721)
Y (0.500, 0.500, 0.500)
Al (0.000, 0.000, 0.446)
Al (0.500, 0.500, 0.946)
Ag (0.000, 0.500, 0.758)
Ag (0.500, 0.000, 0.258)

Results
Fermi-level density of states ... 1.030 states/eV/atom
Formation energy ... -0.281 eV/atom
M_tot ... 0.719 μB per formula unit
Raw total energy ... -5.161 eV per atom

No. 3
The following is a PBE-GGA calculation of a relaxed structure of BaLi3Zn2, from Alexandria via LeMat-Bulk.

Cell lengths 7.198, 7.198, 5.440 Å; angles 90.00, 90.00, 80.43 degrees
Atoms (fractional coordinates):
Ba (0.164, 0.836, 0.750)
Ba (0.836, 0.164, 0.250)
Li (0.042, 0.568, 0.250)
Li (0.432, 0.958, 0.250)
Li (0.455, 0.545, 0.250)
Li (0.545, 0.455, 0.750)
Li (0.568, 0.042, 0.750)
Li (0.958, 0.432, 0.750)
Zn (0.281, 0.281, 0.000)
Zn (0.281, 0.281, 0.500)
Zn (0.719, 0.719, 0.000)
Zn (0.719, 0.719, 0.500)

Results
Fermi-level density of states ... 0.593 states/eV/atom
Formation energy ... -0.103 eV/atom
ΔE to the lowest computed polymorph ... 0.000 eV per atom
M_tot ... 0.002 μB per formula unit
Raw total energy ... -1.805 eV per atom

No. 4
The following is a PBE-GGA calculation of a relaxed structure of PrNiRh, from Alexandria via LeMat-Bulk.

Cell lengths 4.181, 4.181, 3.994 Å; angles 90.00, 90.00, 120.00 degrees
Atoms (fractional coordinates):
Pr (0.000, 0.000, 0.000)
Ni (0.333, 0.667, 0.500)
Rh (0.667, 0.333, 0.500)

Results
Fermi-level density of states ... 0.457 states/eV/atom
Formation energy ... -0.458 eV/atom
ΔE to the lowest computed polymorph ... 0.028 eV per atom
M_tot ... 0.000 μB per formula unit
Raw total energy ... -6.428 eV per atom

No. 5
The following is a PBE-GGA calculation of a relaxed structure of CaAs2HO6, from Alexandria via LeMat-Bulk.

Cell lengths 7.122, 7.122, 6.359 Å; angles 115.03, 115.03, 72.59 degrees
Atoms (fractional coordinates):
Ca (0.148, 0.852, 0.750)
Ca (0.852, 0.148, 0.250)
As (0.256, 0.372, 0.283)
As (0.372, 0.256, 0.783)
As (0.628, 0.744, 0.217)
As (0.744, 0.628, 0.717)
H (0.289, 0.711, 0.250)
H (0.711, 0.289, 0.750)
O (0.067, 0.215, 0.103)
O (0.198, 0.636, 0.317)
O (0.215, 0.067, 0.603)
O (0.269, 0.439, 0.619)
O (0.364, 0.802, 0.183)
O (0.439, 0.269, 0.119)
O (0.561, 0.731, 0.881)
O (0.636, 0.198, 0.817)
O (0.731, 0.561, 0.381)
O (0.785, 0.933, 0.397)
O (0.802, 0.364, 0.683)
O (0.933, 0.785, 0.897)

Results
Fermi-level density of states ... 0.267 states/eV/atom
M_tot ... 0.000 μB per formula unit
Raw total energy ... -5.872 eV per atom

No. 6
The following is a PBE-GGA calculation of a relaxed structure of KZnCo2, from Alexandria via LeMat-Bulk.

Cell lengths 4.586, 4.586, 6.624 Å; angles 90.00, 90.00, 90.00 degrees
Atoms (fractional coordinates):
K (0.000, 0.000, 0.000)
K (0.500, 0.500, 0.500)
Zn (0.000, 0.500, 0.750)
Zn (0.500, 0.000, 0.250)
Co (0.000, 0.000, 0.500)
Co (0.000, 0.500, 0.250)
Co (0.500, 0.000, 0.750)
Co (0.500, 0.500, 0.000)

Results
Fermi-level density of states ... 1.128 states/eV/atom
Formation energy ... 1.046 eV/atom
M_tot ... 3.234 μB per formula unit
Raw total energy ... -3.100 eV per atom

No. 7
The following is a PBE-GGA calculation of a relaxed structure of Tb6Y3Th2Sc, from Alexandria via LeMat-Bulk.

Cell lengths 6.125, 6.125, 11.795 Å; angles 94.97, 94.97, 119.99 degrees
Atoms (fractional coordinates):
Tb (0.086, 0.418, 0.755)
Tb (0.248, 0.248, 0.246)
Tb (0.418, 0.086, 0.755)
Tb (0.582, 0.914, 0.245)
Tb (0.752, 0.752, 0.754)
Tb (0.914, 0.582, 0.245)
Y (0.000, 0.000, 0.500)
Y (0.334, 0.666, 0.500)
Y (0.666, 0.334, 0.500)
Th (0.166, 0.834, 0.000)
Th (0.834, 0.166, 0.000)
Sc (0.500, 0.500, 0.000)

Results
Fermi-level density of states ... 1.472 states/eV/atom
Formation energy ... 0.031 eV/atom
M_tot ... 0.000 μB per formula unit
Raw total energy ... -5.664 eV per atom

No. 8
The following is a PBE-GGA calculation of a relaxed structure of ThNbN, from Alexandria via LeMat-Bulk.

Cell lengths 3.631, 3.631, 8.275 Å; angles 90.00, 90.00, 90.00 degrees
Atoms (fractional coordinates):
Th (0.250, 0.250, 0.160)
Th (0.750, 0.750, 0.840)
Nb (0.250, 0.250, 0.572)
Nb (0.750, 0.750, 0.428)
N (0.250, 0.250, 0.844)
N (0.750, 0.750, 0.156)

Results
Fermi-level density of states ... 0.715 states/eV/atom
Formation energy from raw total energies ... -0.955 eV per atom
M_tot ... 0.000 μB per formula unit
Raw total energy ... -9.560 eV per atom

No. 9
The following is a PBE-GGA calculation of a relaxed structure of ReSb2Os, from Alexandria via LeMat-Bulk.

Cell lengths 9.681, 3.155, 6.033 Å; angles 90.00, 123.07, 90.00 degrees
Atoms (fractional coordinates):
Re (0.000, 0.000, 0.000)
Re (0.500, 0.500, 0.000)
Sb (0.254, 0.000, 0.913)
Sb (0.412, 0.000, 0.544)
Sb (0.754, 0.500, 0.913)
Sb (0.912, 0.500, 0.544)
Os (0.162, 0.500, 0.446)
Os (0.662, 0.000, 0.446)

Results
Fermi-level density of states ... 0.572 states/eV/atom
ΔE to the lowest computed polymorph ... 0.221 eV per atom
Formation energy from raw total energies ... 0.510 eV per atom
M_tot ... 0.000 μB per formula unit
Raw total energy ... -7.470 eV per atom

No. 10
The following is a PBE-GGA calculation of a relaxed structure of La2TbPm2Y2, from Alexandria via LeMat-Bulk.

Cell lengths 8.940, 8.940, 8.940 Å; angles 37.85, 37.85, 37.85 degrees
Atoms (fractional coordinates):
La (0.137, 0.137, 0.137)
La (0.863, 0.863, 0.863)
Tb (0.000, 0.000, 0.000)
Pm (0.284, 0.284, 0.284)
Pm (0.716, 0.716, 0.716)
Y (0.427, 0.427, 0.427)
Y (0.573, 0.573, 0.573)

Results
Fermi-level density of states ... 2.310 states/eV/atom
Formation energy ... 0.125 eV/atom
M_tot ... 0.000 μB per formula unit
Raw total energy ... -5.148 eV per atom

No. 11
The following is a PBE-GGA calculation of a relaxed structure of LiMnSbS4, from Alexandria via LeMat-Bulk.

Cell lengths 7.415, 7.415, 7.415 Å; angles 121.55, 118.68, 89.82 degrees
Atoms (fractional coordinates):
Li (0.384, 0.134, 0.250)
Li (0.616, 0.866, 0.750)
Mn (0.000, 0.000, 0.500)
Mn (0.000, 0.500, 0.000)
Sb (0.000, 0.500, 0.500)
Sb (0.500, 0.500, 0.000)
S (0.217, 0.250, 0.967)
S (0.217, 0.750, 0.467)
S (0.225, 0.219, 0.494)
S (0.225, 0.731, 0.006)
S (0.775, 0.269, 0.994)
S (0.775, 0.781, 0.506)
S (0.783, 0.250, 0.533)
S (0.783, 0.750, 0.033)

Results
Fermi-level density of states ... 0.381 states/eV/atom
Formation energy from raw total energies ... -0.578 eV per atom
M_tot ... 3.127 μB per formula unit
Raw total energy ... -5.109 eV per atom

No. 12
The following is a PBE-GGA calculation of a relaxed structure of Sm7HoTm12, from Alexandria via LeMat-Bulk.

Cell lengths 9.658, 9.658, 9.658 Å; angles 109.47, 109.47, 109.47 degrees
Atoms (fractional coordinates):
Sm (0.000, 0.000, 0.500)
Sm (0.000, 0.500, 0.000)
Sm (0.000, 0.500, 0.500)
Sm (0.500, 0.000, 0.000)
Sm (0.500, 0.000, 0.500)
Sm (0.500, 0.500, 0.000)
Sm (0.500, 0.500, 0.500)
Ho (0.000, 0.000, 0.000)
Tm (0.000, 0.247, 0.753)
Tm (0.000, 0.753, 0.247)
Tm (0.247, 0.000, 0.753)
Tm (0.247, 0.247, 0.494)
Tm (0.247, 0.494, 0.247)
Tm (0.247, 0.753, 0.000)
Tm (0.494, 0.247, 0.247)
Tm (0.506, 0.753, 0.753)
Tm (0.753, 0.000, 0.247)
Tm (0.753, 0.247, 0.000)
Tm (0.753, 0.506, 0.753)
Tm (0.753, 0.753, 0.506)

Results
Fermi-level density of states ... 1.335 states/eV/atom
Formation energy ... 0.689 eV/atom
ΔE to the lowest computed polymorph ... 0.453 eV per atom
M_tot ... 0.000 μB per formula unit
Raw total energy ... -3.875 eV per atom

What did the ninth record say?
The following is a PBE-GGA calculation of a relaxed structure of ReSb2Os, from Alexandria via LeMat-Bulk.

Cell lengths 9.681, 3.155, 6.033 Å; angles 90.00, 123.07, 90.00 degrees
Atoms (fractional coordinates):
Re (0.000, 0.000, 0.000)
Re (0.500, 0.500, 0.000)
Sb (0.254, 0.000, 0.913)
Sb (0.412, 0.000, 0.544)
Sb (0.754, 0.500, 0.913)
Sb (0.912, 0.500, 0.544)
Os (0.162, 0.500, 0.446)
Os (0.662, 0.000, 0.446)

Results
Fermi-level density of states ... 0.572 states/eV/atom
ΔE to the lowest computed polymorph ... 0.221 eV per atom
Formation energy from raw total energies ... 0.510 eV per atom
M_tot ... 0.000 μB per formula unit
Raw total energy ... -7.470 eV per atom